## CrCu2Mo (PBE-GGA)

Data for crystalline CrCu2Mo at its relaxed geometry.

symmetry = No. 65
formation enthalpy at 0 K = 0.31 eV per atom
ΔE to the lowest computed polymorph = 0.442 eV/f.u.

a = 2.531 Å, b = 2.531 Å, c = 8.093 Å
α = 90.00°, β = 90.00°, γ = 91.55°
Fractional positions:
1 Cr 0.500 0.500 0.750
2 Cu 0.000 0.000 0.513
3 Cu 0.000 0.000 0.987
4 Mo 0.500 0.500 0.250


## CrCu2Mo (PBE-GGA)

Data for crystalline CrCu2Mo at its relaxed geometry.

symmetry = No. 225
formation enthalpy at 0 K = 0.57 eV per atom
ΔE to the lowest computed polymorph = 1.461 eV/f.u.

a = 4.198 Å, b = 4.198 Å, c = 4.198 Å
α = 60.00°, β = 60.00°, γ = 60.00°
Fractional positions:
1 Cu 0.250 0.250 0.250
2 Mo 0.500 0.500 0.500
3 Cu 0.750 0.750 0.750
4 Cr 0.000 0.000 0.000


The lowest ΔE to the lowest computed polymorph belongs to which entry?
number 1